Entry from the Alexandria database: a relaxed MgVCuF6 crystal (PBE+U).

a = 5.2964 Å, b = 5.2964 Å, c = 9.2462 Å
α = 90.00°, β = 90.00°, γ = 120.00°
Space group P-31c (No. 163)
Inequivalent atoms, fractional coordinates:
Mg 0.3333 0.6667 0.2500 [2 per cell]
V 0.3333 0.6667 0.7500 [2 per cell]
Cu 0.0000 0.0000 0.0000 [2 per cell]
F 0.0021 0.3542 0.6365 [12 per cell]

Results
crystal system	trigonal
DOS(E_F)	0.8683	states/eV per atom
energy	-5.31	eV/atom